Compound: K2ScIr
Source: Alexandria via LeMat-Bulk
Functional: PBE-GGA
Structure: relaxed

The structure in POSCAR format:
```
K2ScIr
1.0
-5.201 -4.275 2.765
0.280 -7.235 -0.744
2.790 6.233 2.517
Ir K Sc
1 2 1
Direct
0.286 0.786 0.500 Ir
0.061 0.061 0.000 K
0.743 0.243 0.500 K
0.411 0.411 0.000 Sc
```

Calculated values
- Energy relative to the elements: 0.237 eV/atom
- ΔE to the lowest computed polymorph: 223 meV/atom
- Total moment: 0.00 Bohr magnetons per cell
- VASP energy: -4.110 eV/atom



Compound: CeTh3O8
Source: Alexandria via LeMat-Bulk
Functional: PBE-GGA
Structure: relaxed

The structure in POSCAR format:
```
CeTh3O8
1.0
3.947 -5.582 0.000
3.947 5.582 0.000
0.000 0.000 3.949
Ce Th O
1 3 8
Direct
0.500 0.500 0.000 Ce
0.500 0.000 0.500 Th
0.000 0.500 0.500 Th
0.000 0.000 0.000 Th
0.125 0.875 0.500 O
0.623 0.872 0.000 O
0.377 0.623 0.500 O
0.128 0.377 0.000 O
0.872 0.623 0.000 O
0.623 0.377 0.500 O
0.377 0.128 0.000 O
0.875 0.125 0.500 O
```

Calculated values
- E_form (uncorrected): -3.785 eV/atom
- Total moment: 0.00 Bohr magnetons per cell
- VASP energy: -9.440 eV/atom



Compound: SrEr2F7
Source: Alexandria via LeMat-Bulk
Functional: PBE-GGA
Structure: relaxed

The structure in POSCAR format:
```
SrEr2F7
1.0
-4.070 -1.126 0.117
1.381 -4.530 4.487
-1.557 5.874 2.373
Sr Er F
1 2 7
Direct
0.000 0.000 0.000 Sr
0.500 0.692 0.308 Er
0.500 0.308 0.692 Er
0.000 0.754 0.246 F
0.000 0.246 0.754 F
0.500 0.049 0.325 F
0.500 0.951 0.675 F
0.500 0.325 0.049 F
0.500 0.675 0.951 F
0.500 0.500 0.500 F
```

Calculated values
- E_form (uncorrected): -3.801 eV/atom
- Total moment: 0.45 Bohr magnetons per cell
- VASP energy: -6.191 eV/atom



Compound: LiHfTc2H
Source: Alexandria via LeMat-Bulk
Functional: PBE-GGA
Structure: relaxed

The structure in POSCAR format:
```
LiHfTc2H
1.0
-0.014 -3.785 3.237
-2.171 -1.753 -2.059
3.884 -2.035 -2.362
H Hf Tc Li
1 1 2 1
Direct
0.000 0.500 0.000 H
0.000 0.000 0.000 Hf
0.000 0.000 0.500 Tc
0.500 0.000 0.000 Tc
0.500 0.500 0.500 Li
```

Calculated values
- Total moment: 2.99 Bohr magnetons per cell
- VASP energy: -6.016 eV/atom



Compound: GaAgPb
Source: Alexandria via LeMat-Bulk
Functional: PBE-GGA
Structure: relaxed

The structure in POSCAR format:
```
GaAgPb
1.0
5.717 0.025 0.052
-2.793 4.953 -0.109
0.026 3.249 4.702
Pb Ga Ag
2 2 2
Direct
0.273 0.176 0.887 Pb
0.024 0.676 0.630 Pb
0.648 0.926 0.259 Ga
0.148 0.426 0.259 Ga
0.648 0.926 0.759 Ag
0.648 0.426 0.259 Ag
```

Calculated values
- Energy relative to the elements: 0.035 eV/atom
- Total moment: 0.00 Bohr magnetons per cell
- VASP energy: -3.160 eV/atom



Compound: Ce3MnAg
Source: Alexandria via LeMat-Bulk
Functional: PBE-GGA
Structure: relaxed

The structure in POSCAR format:
```
Ce3MnAg
1.0
5.037 0.000 0.000
0.000 5.037 0.000
0.000 0.000 5.037
Mn Ag Ce
1 1 3
Direct
0.000 0.000 0.000 Mn
0.500 0.500 0.500 Ag
0.000 0.500 0.000 Ce
0.000 0.000 0.500 Ce
0.500 0.000 0.000 Ce
```

Calculated values
- Energy relative to the elements: 0.067 eV/atom
- Total moment: 1.07 Bohr magnetons per cell
- VASP energy: -5.898 eV/atom